Record 1
A relaxed K2Ag2As crystal, computed with PBE.

Structure (CIF):
```
data_K2Ag2As
_chemical_formula_sum 'K4 Ag4 As2'
_symmetry_space_group_name_H-M 'P 1'
_symmetry_Int_Tables_number 1
_cell_length_a 7.161
_cell_length_b 7.161
_cell_length_c 5.390
_cell_angle_alpha 90.00
_cell_angle_beta 90.00
_cell_angle_gamma 90.00
loop_
_symmetry_equiv_pos_as_xyz
'x,y,z'
loop_
_atom_site_label
_atom_site_fract_x
_atom_site_fract_y
_atom_site_fract_z
K1 0.182 0.318 0.000
K2 0.318 0.818 0.000
K3 0.682 0.182 0.000
K4 0.818 0.682 0.000
Ag1 0.141 0.641 0.500
Ag2 0.359 0.141 0.500
Ag3 0.641 0.859 0.500
Ag4 0.859 0.359 0.500
As1 0.000 0.000 0.500
As2 0.500 0.500 0.500
```

Values from the calculation:
**Crystal system**: tetragonal
**E_form**: -0.067 eV/atom
**Polymorph energy (0 for the lowest one)**: 0.000 eV per atom
**VASP energy**: -0.1893 Ry per atom


Record 2
A relaxed Pa4Si3Ni crystal, computed with PBE.

Structure (CIF):
```
data_Pa4Si3Ni
_chemical_formula_sum 'Pa4 Si3 Ni1'
_symmetry_space_group_name_H-M 'P 1'
_symmetry_Int_Tables_number 1
_cell_length_a 3.849
_cell_length_b 4.122
_cell_length_c 10.440
_cell_angle_alpha 90.00
_cell_angle_beta 90.00
_cell_angle_gamma 90.00
loop_
_symmetry_equiv_pos_as_xyz
'x,y,z'
loop_
_atom_site_label
_atom_site_fract_x
_atom_site_fract_y
_atom_site_fract_z
Pa1 0.000 0.000 0.000
Pa2 0.000 0.500 0.492
Pa3 0.500 0.000 0.707
Pa4 0.500 0.500 0.206
Si1 0.000 0.500 0.775
Si2 0.500 0.000 0.419
Si3 0.500 0.500 0.928
Ni1 0.000 0.000 0.280
```

Values from the calculation:
**Crystal system**: orthorhombic
**E_form (uncorrected)**: -446 meV per atom
**VASP energy**: -0.5843 Ry per atom


Record 3
A relaxed CaTmCl6 crystal, computed with PBE.

Structure (CIF):
```
data_CaTmCl6
_chemical_formula_sum 'Ca1 Tm1 Cl6'
_symmetry_space_group_name_H-M 'P 1'
_symmetry_Int_Tables_number 1
_cell_length_a 6.664
_cell_length_b 6.673
_cell_length_c 7.162
_cell_angle_alpha 93.71
_cell_angle_beta 113.61
_cell_angle_gamma 119.29
loop_
_symmetry_equiv_pos_as_xyz
'x,y,z'
loop_
_atom_site_label
_atom_site_fract_x
_atom_site_fract_y
_atom_site_fract_z
Ca1 0.000 0.000 0.000
Tm1 0.000 0.500 0.500
Cl1 0.109 0.207 0.686
Cl2 0.155 0.435 0.238
Cl3 0.483 0.859 0.771
Cl4 0.517 0.141 0.229
Cl5 0.845 0.565 0.762
Cl6 0.891 0.793 0.314
```

Values from the calculation:
**Crystal system**: triclinic
**E_form (uncorrected)**: -1883 meV per atom
**VASP energy**: -0.2996 Ry per atom


Record 4
A relaxed Tm4InCo2 crystal, computed with PBE.

Structure (CIF):
```
data_Tm4InCo2
_chemical_formula_sum 'Tm4 In1 Co2'
_symmetry_space_group_name_H-M 'P 1'
_symmetry_Int_Tables_number 1
_cell_length_a 9.594
_cell_length_b 9.594
_cell_length_c 9.594
_cell_angle_alpha 27.55
_cell_angle_beta 27.55
_cell_angle_gamma 27.55
loop_
_symmetry_equiv_pos_as_xyz
'x,y,z'
loop_
_atom_site_label
_atom_site_fract_x
_atom_site_fract_y
_atom_site_fract_z
Tm1 0.106 0.106 0.106
Tm2 0.299 0.299 0.299
Tm3 0.701 0.701 0.701
Tm4 0.894 0.894 0.894
In1 0.500 0.500 0.500
Co1 0.404 0.404 0.404
Co2 0.596 0.596 0.596
```

Values from the calculation:
**Crystal system**: trigonal
**E_form**: -0.138 eV/atom
**VASP energy**: -0.3759 Ry per atom


Record 5
A relaxed Tc5Rh crystal, computed with PBE.

Structure (CIF):
```
data_Tc5Rh
_chemical_formula_sum 'Tc5 Rh1'
_symmetry_space_group_name_H-M 'P 1'
_symmetry_Int_Tables_number 1
_cell_length_a 6.136
_cell_length_b 6.136
_cell_length_c 3.858
_cell_angle_alpha 90.00
_cell_angle_beta 90.00
_cell_angle_gamma 143.21
loop_
_symmetry_equiv_pos_as_xyz
'x,y,z'
loop_
_atom_site_label
_atom_site_fract_x
_atom_site_fract_y
_atom_site_fract_z
Tc1 0.000 0.000 0.000
Tc2 0.166 0.834 0.500
Tc3 0.334 0.666 0.000
Tc4 0.666 0.334 0.000
Tc5 0.834 0.166 0.500
Rh1 0.500 0.500 0.500
```

Values from the calculation:
**Crystal system**: orthorhombic
**E_form**: 0.013 eV/atom
**Polymorph energy (0 for the lowest one)**: 0.087 eV per atom
**VASP energy**: -0.7240 Ry per atom


Record 6
A relaxed K12Na7Sr crystal, computed with PBE.

Structure (CIF):
```
data_K12Na7Sr
_chemical_formula_sum 'K12 Na7 Sr1'
_symmetry_space_group_name_H-M 'P 1'
_symmetry_Int_Tables_number 1
_cell_length_a 11.212
_cell_length_b 11.212
_cell_length_c 11.212
_cell_angle_alpha 106.92
_cell_angle_beta 106.92
_cell_angle_gamma 106.92
loop_
_symmetry_equiv_pos_as_xyz
'x,y,z'
loop_
_atom_site_label
_atom_site_fract_x
_atom_site_fract_y
_atom_site_fract_z
K1 0.065 0.391 0.286
K2 0.199 0.377 0.680
K3 0.286 0.065 0.391
K4 0.320 0.801 0.623
K5 0.377 0.680 0.199
K6 0.391 0.286 0.065
K7 0.609 0.714 0.935
K8 0.623 0.320 0.801
K9 0.680 0.199 0.377
K10 0.714 0.935 0.609
K11 0.801 0.623 0.320
K12 0.935 0.609 0.714
Na1 0.006 0.685 0.099
Na2 0.099 0.006 0.685
Na3 0.315 0.901 0.994
Na4 0.500 0.500 0.500
Na5 0.685 0.099 0.006
Na6 0.901 0.994 0.315
Na7 0.994 0.315 0.901
Sr1 0.000 0.000 0.000
```

Values from the calculation:
**Crystal system**: trigonal
**E_form**: 0.040 eV/atom
**VASP energy**: -0.0855 Ry per atom


Record 7
A relaxed Na5Hg4Bi2 crystal, computed with PBE.

Structure (CIF):
```
data_Na5Hg4Bi2
_chemical_formula_sum 'Na5 Hg4 Bi2'
_symmetry_space_group_name_H-M 'P 1'
_symmetry_Int_Tables_number 1
_cell_length_a 6.469
_cell_length_b 6.469
_cell_length_c 9.126
_cell_angle_alpha 108.96
_cell_angle_beta 108.96
_cell_angle_gamma 60.66
loop_
_symmetry_equiv_pos_as_xyz
'x,y,z'
loop_
_atom_site_label
_atom_site_fract_x
_atom_site_fract_y
_atom_site_fract_z
Na1 0.000 0.000 0.000
Na2 0.108 0.590 0.322
Na3 0.410 0.892 0.678
Na4 0.590 0.108 0.322
Na5 0.892 0.410 0.678
Hg1 0.106 0.106 0.373
Hg2 0.304 0.304 0.999
Hg3 0.696 0.696 0.001
Hg4 0.894 0.894 0.627
Bi1 0.402 0.402 0.700
Bi2 0.598 0.598 0.300
```

Values from the calculation:
**Crystal system**: monoclinic
**E_form**: -0.227 eV/atom
**VASP energy**: -0.1207 Ry per atom


Record 8
A relaxed PAuSeBr2 crystal, computed with PBE.

Structure (CIF):
```
data_PAuSeBr2
_chemical_formula_sum 'P1 Au1 Se1 Br2'
_symmetry_space_group_name_H-M 'P 1'
_symmetry_Int_Tables_number 1
_cell_length_a 5.164
_cell_length_b 5.164
_cell_length_c 5.338
_cell_angle_alpha 90.00
_cell_angle_beta 90.00
_cell_angle_gamma 90.00
loop_
_symmetry_equiv_pos_as_xyz
'x,y,z'
loop_
_atom_site_label
_atom_site_fract_x
_atom_site_fract_y
_atom_site_fract_z
P1 0.000 0.000 0.000
Au1 0.500 0.500 0.500
Se1 0.500 0.500 0.000
Br1 0.000 0.500 0.500
Br2 0.500 0.000 0.500
```

Values from the calculation:
**Crystal system**: tetragonal
**E_form (uncorrected)**: 777 meV per atom
**Polymorph energy (0 for the lowest one)**: 0.278 eV per atom
**VASP energy**: -0.1710 Ry per atom


Record 9
A relaxed SmPuPd crystal, computed with PBE.

Structure (CIF):
```
data_SmPuPd
_chemical_formula_sum 'Sm2 Pu2 Pd2'
_symmetry_space_group_name_H-M 'P 1'
_symmetry_Int_Tables_number 1
_cell_length_a 5.666
_cell_length_b 4.674
_cell_length_c 6.201
_cell_angle_alpha 90.00
_cell_angle_beta 106.43
_cell_angle_gamma 90.00
loop_
_symmetry_equiv_pos_as_xyz
'x,y,z'
loop_
_atom_site_label
_atom_site_fract_x
_atom_site_fract_y
_atom_site_fract_z
Sm1 0.081 0.250 0.272
Sm2 0.919 0.750 0.728
Pu1 0.456 0.250 0.848
Pu2 0.544 0.750 0.152
Pd1 0.359 0.750 0.558
Pd2 0.641 0.250 0.442
```

Values from the calculation:
**Crystal system**: monoclinic
**E_form**: -0.340 eV/atom
**Polymorph energy (0 for the lowest one)**: 0.000 eV per atom
**VASP energy**: -0.6190 Ry per atom


Record 10
A relaxed ThTiTe4 crystal, computed with PBE.

Structure (CIF):
```
data_ThTiTe4
_chemical_formula_sum 'Th2 Ti2 Te8'
_symmetry_space_group_name_H-M 'P 1'
_symmetry_Int_Tables_number 1
_cell_length_a 7.453
_cell_length_b 7.373
_cell_length_c 7.242
_cell_angle_alpha 90.00
_cell_angle_beta 100.40
_cell_angle_gamma 90.00
loop_
_symmetry_equiv_pos_as_xyz
'x,y,z'
loop_
_atom_site_label
_atom_site_fract_x
_atom_site_fract_y
_atom_site_fract_z
Th1 0.000 0.000 0.000
Th2 0.000 0.500 0.500
Ti1 0.500 0.000 0.500
Ti2 0.500 0.500 0.000
Te1 0.188 0.166 0.384
Te2 0.188 0.334 0.884
Te3 0.326 0.702 0.264
Te4 0.326 0.798 0.764
Te5 0.674 0.202 0.236
Te6 0.674 0.298 0.736
Te7 0.812 0.666 0.116
Te8 0.812 0.834 0.616
```

Values from the calculation:
**Crystal system**: monoclinic
**E_form (uncorrected)**: -699 meV per atom
**VASP energy**: -0.3929 Ry per atom


Record 11
A relaxed K3Cu2I4 crystal, computed with PBE.

Structure (CIF):
```
data_K3Cu2I4
_chemical_formula_sum 'K6 Cu4 I8'
_symmetry_space_group_name_H-M 'P 1'
_symmetry_Int_Tables_number 1
_cell_length_a 9.678
_cell_length_b 9.678
_cell_length_c 8.996
_cell_angle_alpha 94.19
_cell_angle_beta 94.19
_cell_angle_gamma 56.42
loop_
_symmetry_equiv_pos_as_xyz
'x,y,z'
loop_
_atom_site_label
_atom_site_fract_x
_atom_site_fract_y
_atom_site_fract_z
K1 0.013 0.987 0.750
K2 0.267 0.451 0.119
K3 0.451 0.267 0.619
K4 0.549 0.733 0.381
K5 0.733 0.549 0.881
K6 0.987 0.013 0.250
Cu1 0.023 0.366 0.523
Cu2 0.366 0.023 0.023
Cu3 0.634 0.977 0.977
Cu4 0.977 0.634 0.477
I1 0.167 0.254 0.812
I2 0.234 0.676 0.485
I3 0.254 0.167 0.312
I4 0.324 0.766 0.015
I5 0.676 0.234 0.985
I6 0.746 0.833 0.688
I7 0.766 0.324 0.515
I8 0.833 0.746 0.188
```

Values from the calculation:
**Crystal system**: monoclinic
**E_form (uncorrected)**: -779 meV per atom
**VASP energy**: -0.2017 Ry per atom


Record 12
A relaxed SrTeBr2 crystal, computed with PBE.

Structure (CIF):
```
data_SrTeBr2
_chemical_formula_sum 'Sr1 Te1 Br2'
_symmetry_space_group_name_H-M 'P 1'
_symmetry_Int_Tables_number 1
_cell_length_a 5.668
_cell_length_b 5.668
_cell_length_c 5.668
_cell_angle_alpha 60.00
_cell_angle_beta 60.00
_cell_angle_gamma 60.00
loop_
_symmetry_equiv_pos_as_xyz
'x,y,z'
loop_
_atom_site_label
_atom_site_fract_x
_atom_site_fract_y
_atom_site_fract_z
Sr1 0.000 0.000 0.000
Te1 0.250 0.250 0.250
Br1 0.500 0.500 0.500
Br2 0.750 0.750 0.750
```

Values from the calculation:
**Crystal system**: cubic
**E_form (uncorrected)**: -810 meV per atom
**Polymorph energy (0 for the lowest one)**: 0.452 eV per atom
**VASP energy**: -0.2096 Ry per atom